(1)
# LiNbGeIr | Alexandria via LeMat-Bulk | PBE | relaxed
# Formation energy in eV/atom: -0.323
data_LiNbGeIr
_chemical_formula_sum 'Li4 Nb4 Ge4 Ir4'
_cell_length_a 6.248
_cell_length_b 6.248
_cell_length_c 6.248
_cell_angle_alpha 90.00
_cell_angle_beta 90.00
_cell_angle_gamma 90.00
_symmetry_space_group_name_H-M 'F -4 3 m'
_symmetry_Int_Tables_number 216
_symmetry_space_group_name_Hall 'F -4 2 3'
loop_
_atom_site_label
_atom_site_type_symbol
_atom_site_fract_x
_atom_site_fract_y
_atom_site_fract_z
Li1 Li 0.000 0.000 0.000
Nb1 Nb 0.000 0.000 0.500
Ge1 Ge 0.250 0.250 0.750
Ir1 Ir 0.250 0.250 0.250

(2)
# K4V2Pd | Alexandria via LeMat-Bulk | PBE | relaxed
# Formation energy in eV/atom: 1.073
data_K4V2Pd
_chemical_formula_sum 'K8 V4 Pd2'
_cell_length_a 6.366
_cell_length_b 6.366
_cell_length_c 16.393
_cell_angle_alpha 90.00
_cell_angle_beta 90.00
_cell_angle_gamma 90.00
_symmetry_space_group_name_H-M 'I 4/m m m'
_symmetry_Int_Tables_number 139
_symmetry_space_group_name_Hall '-I 4 2'
loop_
_atom_site_label
_atom_site_type_symbol
_atom_site_fract_x
_atom_site_fract_y
_atom_site_fract_z
K1 K 0.000 0.000 0.187
K2 K 0.000 0.500 0.000
V1 V 0.000 0.000 0.419
Pd1 Pd 0.000 0.000 0.000

(3)
# DyErTlGe | Alexandria via LeMat-Bulk | PBE | relaxed
# Formation energy in eV/atom: -0.412
data_DyErTlGe
_chemical_formula_sum 'Dy4 Er4 Tl4 Ge4'
_cell_length_a 7.356
_cell_length_b 7.356
_cell_length_c 7.356
_cell_angle_alpha 90.00
_cell_angle_beta 90.00
_cell_angle_gamma 90.00
_symmetry_space_group_name_H-M 'F -4 3 m'
_symmetry_Int_Tables_number 216
_symmetry_space_group_name_Hall 'F -4 2 3'
loop_
_atom_site_label
_atom_site_type_symbol
_atom_site_fract_x
_atom_site_fract_y
_atom_site_fract_z
Dy1 Dy 0.000 0.000 0.000
Er1 Er 0.000 0.000 0.500
Tl1 Tl 0.250 0.250 0.250
Ge1 Ge 0.250 0.250 0.750

(4)
# Cu3C | Alexandria via LeMat-Bulk | PBE | relaxed
# Formation energy in eV/atom: 0.707
data_Cu3C
_chemical_formula_sum 'Cu12 C4'
_cell_length_a 6.721
_cell_length_b 8.790
_cell_length_c 2.851
_cell_angle_alpha 90.00
_cell_angle_beta 90.00
_cell_angle_gamma 90.00
_symmetry_space_group_name_H-M 'C m c m'
_symmetry_Int_Tables_number 63
_symmetry_space_group_name_Hall '-C 2c 2'
loop_
_atom_site_label
_atom_site_type_symbol
_atom_site_fract_x
_atom_site_fract_y
_atom_site_fract_z
Cu1 Cu 0.000 0.115 0.250
Cu2 Cu 0.185 0.374 0.250
C1 C 0.000 0.282 0.750

(5)
# Li2ErPuAu4 | Alexandria via LeMat-Bulk | PBE | relaxed
# Formation energy in eV/atom: -0.581
data_Li2ErPuAu4
_chemical_formula_sum 'Li6 Er3 Pu3 Au12'
_cell_length_a 4.5699
_cell_length_b 4.5699
_cell_length_c 27.4170
_cell_angle_alpha 90.00
_cell_angle_beta 90.00
_cell_angle_gamma 120.00
_symmetry_space_group_name_H-M 'R -3 m'
_symmetry_Int_Tables_number 166
_symmetry_space_group_name_Hall '-R 3 2"'
loop_
_atom_site_label
_atom_site_type_symbol
_atom_site_fract_x
_atom_site_fract_y
_atom_site_fract_z
Li1 Li 0.0000 0.0000 0.2470
Er1 Er 0.0000 0.0000 0.5000
Pu1 Pu 0.0000 0.0000 0.0000
Au1 Au 0.0000 0.0000 0.1143
Au2 Au 0.0000 0.0000 0.3915

(6)
# HfNb2AlN | Alexandria via LeMat-Bulk | PBE | relaxed
# E_form (uncorrected) in eV per atom: -0.60
data_HfNb2AlN
_chemical_formula_sum 'Hf1 Nb2 Al1 N1'
_cell_length_a 4.221
_cell_length_b 4.221
_cell_length_c 4.532
_cell_angle_alpha 90.00
_cell_angle_beta 90.00
_cell_angle_gamma 90.00
_symmetry_space_group_name_H-M 'P 4/m m m'
_symmetry_Int_Tables_number 123
_symmetry_space_group_name_Hall '-P 4 2'
loop_
_atom_site_label
_atom_site_type_symbol
_atom_site_fract_x
_atom_site_fract_y
_atom_site_fract_z
Hf1 Hf 0.000 0.000 0.000
Nb1 Nb 0.000 0.500 0.500
Al1 Al 0.500 0.500 0.000
N1 N 0.000 0.000 0.500

(7)
# Re2SiTe | Alexandria via LeMat-Bulk | PBE | relaxed
# Relative energy among the computed polymorphs in meV per atom: 392
# E_form (uncorrected) in eV per atom: 0.69
data_Re2SiTe
_chemical_formula_sum 'Re4 Si2 Te2'
_cell_length_a 3.119
_cell_length_b 4.815
_cell_length_c 9.684
_cell_angle_alpha 90.00
_cell_angle_beta 90.00
_cell_angle_gamma 90.00
_symmetry_space_group_name_H-M 'C m m 2'
_symmetry_Int_Tables_number 35
loop_
_symmetry_equiv_pos_as_xyz
'x,y,z'
'-x,-y,z'
'-x,y,z'
'x,-y,z'
'x+1/2,y+1/2,z'
'-x+1/2,-y+1/2,z'
'-x+1/2,y+1/2,z'
'x+1/2,-y+1/2,z'
loop_
_atom_site_label
_atom_site_type_symbol
_atom_site_fract_x
_atom_site_fract_y
_atom_site_fract_z
Re1 Re 0.000 0.000 0.000
Re2 Re 0.000 0.500 0.216
Si1 Si 0.000 0.000 0.423
Te1 Te 0.000 0.500 0.746

(8)
# Re2Tc2Ru5 | Alexandria via LeMat-Bulk | PBE | relaxed
# Formation energy in eV/atom: 0.227
data_Re2Tc2Ru5
_chemical_formula_sum 'Re4 Tc4 Ru10'
_cell_length_a 9.006
_cell_length_b 4.288
_cell_length_c 7.214
_cell_angle_alpha 90.00
_cell_angle_beta 105.51
_cell_angle_gamma 90.00
_symmetry_space_group_name_H-M 'C 1 2/m 1'
_symmetry_Int_Tables_number 12
loop_
_symmetry_equiv_pos_as_xyz
'x,y,z'
'-x,-y,-z'
'-x,y,-z'
'x,-y,z'
'x+1/2,y+1/2,z'
'-x+1/2,-y+1/2,-z'
'-x+1/2,y+1/2,-z'
'x+1/2,-y+1/2,z'
loop_
_atom_site_label
_atom_site_type_symbol
_atom_site_fract_x
_atom_site_fract_y
_atom_site_fract_z
Re1 Re 0.226 0.000 0.381
Tc1 Tc 0.180 0.500 0.945
Ru1 Ru 0.000 0.000 0.000
Ru2 Ru 0.084 0.500 0.264
Ru3 Ru 0.100 0.000 0.686

(9)
# AlTcOs2 | Alexandria via LeMat-Bulk | PBE | relaxed
# Formation energy in eV/atom: -0.028
data_AlTcOs2
_chemical_formula_sum 'Al2 Tc2 Os4'
_cell_length_a 9.055
_cell_length_b 2.765
_cell_length_c 4.677
_cell_angle_alpha 90.00
_cell_angle_beta 100.34
_cell_angle_gamma 90.00
_symmetry_space_group_name_H-M 'C 1 2/m 1'
_symmetry_Int_Tables_number 12
loop_
_symmetry_equiv_pos_as_xyz
'x,y,z'
'-x,-y,-z'
'-x,y,-z'
'x,-y,z'
'x+1/2,y+1/2,z'
'-x+1/2,-y+1/2,-z'
'-x+1/2,y+1/2,-z'
'x+1/2,-y+1/2,z'
loop_
_atom_site_label
_atom_site_type_symbol
_atom_site_fract_x
_atom_site_fract_y
_atom_site_fract_z
Al1 Al 0.000 0.000 0.000
Tc1 Tc 0.000 0.500 0.500
Os1 Os 0.244 0.000 0.750

(10)
# SmMg2InSn | Alexandria via LeMat-Bulk | PBE | relaxed
# Formation energy in eV/atom: -0.203
data_SmMg2InSn
_chemical_formula_sum 'Sm4 Mg8 In4 Sn4'
_cell_length_a 3.584
_cell_length_b 17.691
_cell_length_c 8.883
_cell_angle_alpha 90.00
_cell_angle_beta 90.00
_cell_angle_gamma 90.00
_symmetry_space_group_name_H-M 'C m c m'
_symmetry_Int_Tables_number 63
_symmetry_space_group_name_Hall '-C 2c 2'
loop_
_atom_site_label
_atom_site_type_symbol
_atom_site_fract_x
_atom_site_fract_y
_atom_site_fract_z
Sm1 Sm 0.000 0.090 0.250
Mg1 Mg 0.000 0.335 0.053
In1 In 0.000 0.500 0.000
Sn1 Sn 0.000 0.253 0.750

(11)
# Li5Cd2 | Alexandria via LeMat-Bulk | PBE | relaxed
# Relative energy among the computed polymorphs in meV per atom: 0
# Formation energy in eV/atom: -0.190
data_Li5Cd2
_chemical_formula_sum 'Li10 Cd4'
_cell_length_a 9.195
_cell_length_b 4.176
_cell_length_c 6.793
_cell_angle_alpha 90.00
_cell_angle_beta 99.83
_cell_angle_gamma 90.00
_symmetry_space_group_name_H-M 'C 1 2/m 1'
_symmetry_Int_Tables_number 12
loop_
_symmetry_equiv_pos_as_xyz
'x,y,z'
'-x,-y,-z'
'-x,y,-z'
'x,-y,z'
'x+1/2,y+1/2,z'
'-x+1/2,-y+1/2,-z'
'-x+1/2,y+1/2,-z'
'x+1/2,-y+1/2,z'
loop_
_atom_site_label
_atom_site_type_symbol
_atom_site_fract_x
_atom_site_fract_y
_atom_site_fract_z
Li1 Li 0.000 0.000 0.000
Li2 Li 0.141 0.000 0.434
Li3 Li 0.211 0.500 0.141
Cd1 Cd 0.076 0.500 0.718

(12)
# Co2TcCl | Alexandria via LeMat-Bulk | PBE | relaxed
# Relative energy among the computed polymorphs in meV per atom: 0
# E_form (uncorrected) in eV per atom: 0.30
data_Co2TcCl
_chemical_formula_sum 'Co2 Tc1 Cl1'
_cell_length_a 2.743
_cell_length_b 2.826
_cell_length_c 7.119
_cell_angle_alpha 90.00
_cell_angle_beta 90.00
_cell_angle_gamma 90.00
_symmetry_space_group_name_H-M 'P m m m'
_symmetry_Int_Tables_number 47
loop_
_symmetry_equiv_pos_as_xyz
'x,y,z'
'-x,-y,-z'
'-x,-y,z'
'x,y,-z'
'x,-y,-z'
'-x,y,z'
'-x,y,-z'
'x,-y,z'
loop_
_atom_site_label
_atom_site_type_symbol
_atom_site_fract_x
_atom_site_fract_y
_atom_site_fract_z
Co1 Co 0.000 0.000 0.229
Tc1 Tc 0.500 0.500 0.000
Cl1 Cl 0.500 0.000 0.500

| no. | uncorrected energy (eV/cell) |
| --- | --- |
| 1 | -107.01 |
| 2 | -40.62 |
| 3 | -71.19 |
| 4 | -74.73 |
| 5 | -121.43 |
| 6 | -45.15 |
| 7 | -61.36 |
| 8 | -179.92 |
| 9 | -73.36 |
| 10 | -62.66 |
| 11 | -25.46 |
| 12 | -25.24 |